No. 1
# AlSe5 (GGA-PBEsol, relaxed)
# E (eV per atom): -4.074
# V (Å³ per atom): 23.6
# Formation energy without anion corrections (eV/atom): -0.184
data_AlSe5
_symmetry_space_group_name_H-M 'C 1 m 1'
_symmetry_Int_Tables_number 8
_cell_length_a 12.5345
_cell_length_b 3.5097
_cell_length_c 6.5268
_cell_angle_alpha 90.00
_cell_angle_beta 99.19
_cell_angle_gamma 90.00
loop_
_symmetry_equiv_pos_as_xyz
'x,y,z'
'x,-y,z'
'x+1/2,y+1/2,z'
'x+1/2,-y+1/2,z'
loop_
_atom_site_label
_atom_site_fract_x
_atom_site_fract_y
_atom_site_fract_z
Al1 0.0000 0.0000 0.0000
Se1 0.0238 0.5000 0.4759
Se2 0.1372 0.5000 0.0030
Se3 0.2554 0.0000 0.7513
Se4 0.3839 0.5000 0.6456
Se5 0.3899 0.0000 0.1634

=====

No. 2
# LiSbPb2 (GGA-PBEsol, relaxed)
# E (eV per atom): -3.744
# V (Å³ per atom): 26.5
# Formation energy without anion corrections (eV/atom): -0.114
data_LiSbPb2
_symmetry_space_group_name_H-M 'I m m m'
_symmetry_Int_Tables_number 71
_symmetry_space_group_name_Hall '-I 2 2'
_cell_length_a 4.5544
_cell_length_b 4.6244
_cell_length_c 10.0693
_cell_angle_alpha 90.00
_cell_angle_beta 90.00
_cell_angle_gamma 90.00
loop_
_atom_site_label
_atom_site_fract_x
_atom_site_fract_y
_atom_site_fract_z
Li1 0.0000 0.0000 0.0000
Sb1 0.0000 0.0000 0.5000
Pb1 0.0000 0.5000 0.2487

=====

No. 3
# CaTl2Ag (GGA-PBEsol, relaxed)
# E (eV per atom): -2.871
# V (Å³ per atom): 24.1
# Formation enthalpy at 0 K (eV per atom): -0.20
data_CaTl2Ag
_symmetry_space_group_name_H-M 'I -4 m 2'
_symmetry_Int_Tables_number 119
_symmetry_space_group_name_Hall 'I -4 -2'
_cell_length_a 4.7086
_cell_length_b 4.7086
_cell_length_c 8.6916
_cell_angle_alpha 90.00
_cell_angle_beta 90.00
_cell_angle_gamma 90.00
loop_
_atom_site_label
_atom_site_fract_x
_atom_site_fract_y
_atom_site_fract_z
Ca1 0.0000 0.0000 0.0000
Tl1 0.0000 0.0000 0.5000
Tl2 0.0000 0.5000 0.2500
Ag1 0.0000 0.5000 0.7500

=====

No. 4
# HOs3Br (GGA-PBEsol, relaxed)
# E (eV per atom): -5.113
# V (Å³ per atom): 18.2
data_HOs3Br
_symmetry_space_group_name_H-M 'P m -3 m'
_symmetry_Int_Tables_number 221
_symmetry_space_group_name_Hall '-P 4 2 3'
_cell_length_a 4.4977
_cell_length_b 4.4977
_cell_length_c 4.4977
_cell_angle_alpha 90.00
_cell_angle_beta 90.00
_cell_angle_gamma 90.00
loop_
_atom_site_label
_atom_site_fract_x
_atom_site_fract_y
_atom_site_fract_z
H1 0.0000 0.0000 0.0000
Os1 0.0000 0.5000 0.5000
Br1 0.5000 0.5000 0.5000

=====

No. 5
# I (GGA-PBEsol, relaxed)
# E (eV per atom): -1.752
# V (Å³ per atom): 39.3
# Formation energy without anion corrections (eV/atom): 0.015
# Energy above the most stable polymorph in this dataset (eV per formula unit): 0.02
data_I
_symmetry_space_group_name_H-M 'C m c e'
_symmetry_Int_Tables_number 64
_symmetry_space_group_name_Hall '-C 2ac 2'
_cell_length_a 7.4567
_cell_length_b 4.3705
_cell_length_c 9.6433
_cell_angle_alpha 90.00
_cell_angle_beta 90.00
_cell_angle_gamma 90.00
loop_
_atom_site_label
_atom_site_fract_x
_atom_site_fract_y
_atom_site_fract_z
I1 0.0000 0.1735 0.1229

=====

No. 6
# BaIn2P (GGA-PBEsol, relaxed)
# E (eV per atom): -3.649
# V (Å³ per atom): 26.8
# Formation enthalpy at 0 K (eV per atom): -0.17
data_BaIn2P
_symmetry_space_group_name_H-M 'F -4 3 m'
_symmetry_Int_Tables_number 216
_symmetry_space_group_name_Hall 'F -4 2 3'
_cell_length_a 7.5446
_cell_length_b 7.5446
_cell_length_c 7.5446
_cell_angle_alpha 90.00
_cell_angle_beta 90.00
_cell_angle_gamma 90.00
loop_
_atom_site_label
_atom_site_fract_x
_atom_site_fract_y
_atom_site_fract_z
Ba1 0.0000 0.0000 0.0000
In1 0.0000 0.0000 0.5000
In2 0.2500 0.2500 0.7500
P1 0.2500 0.2500 0.2500

=====

No. 7
# IrOsW2 (GGA-PBEsol, relaxed)
# E (eV per atom): -12.451
# V (Å³ per atom): 14.8
# Formation enthalpy at 0 K (eV per atom): -0.04
# Energy above the most stable polymorph in this dataset (eV per formula unit): 0.33
data_IrOsW2
_symmetry_space_group_name_H-M 'I -4 m 2'
_symmetry_Int_Tables_number 119
_symmetry_space_group_name_Hall 'I -4 -2'
_cell_length_a 3.8729
_cell_length_b 3.8729
_cell_length_c 7.9083
_cell_angle_alpha 90.00
_cell_angle_beta 90.00
_cell_angle_gamma 90.00
loop_
_atom_site_label
_atom_site_fract_x
_atom_site_fract_y
_atom_site_fract_z
Ir1 0.0000 0.0000 0.0000
Os1 0.0000 0.5000 0.7500
W1 0.0000 0.0000 0.5000
W2 0.0000 0.5000 0.2500

=====

No. 8
# Hf2AgAuF (GGA-PBEsol, relaxed)
# E (eV per atom): -6.413
# V (Å³ per atom): 17.2
# Formation energy without anion corrections (eV/atom): -0.379
data_Hf2AgAuF
_symmetry_space_group_name_H-M 'P 4/m m m'
_symmetry_Int_Tables_number 123
_symmetry_space_group_name_Hall '-P 4 2'
_cell_length_a 4.2539
_cell_length_b 4.2539
_cell_length_c 4.7647
_cell_angle_alpha 90.00
_cell_angle_beta 90.00
_cell_angle_gamma 90.00
loop_
_atom_site_label
_atom_site_fract_x
_atom_site_fract_y
_atom_site_fract_z
Hf1 0.0000 0.5000 0.0000
Ag1 0.0000 0.0000 0.5000
Au1 0.5000 0.5000 0.5000
F1 0.5000 0.5000 0.0000

=====

No. 9
# Tc2BI (GGA-PBEsol, relaxed)
# E (eV per atom): -7.054
# V (Å³ per atom): 17.3
# Formation energy without anion corrections (eV/atom): 0.775
data_Tc2BI
_symmetry_space_group_name_H-M 'I -4 2 d'
_symmetry_Int_Tables_number 122
_symmetry_space_group_name_Hall 'I -4 2bw'
_cell_length_a 4.5779
_cell_length_b 4.5779
_cell_length_c 13.2019
_cell_angle_alpha 90.00
_cell_angle_beta 90.00
_cell_angle_gamma 90.00
loop_
_atom_site_label
_atom_site_fract_x
_atom_site_fract_y
_atom_site_fract_z
Tc1 0.1303 0.2500 0.1250
B1 0.0000 0.0000 0.0000
I1 0.0000 0.0000 0.5000

=====

No. 10
# ZnSbMo2 (GGA-PBEsol, relaxed)
# E (eV per atom): -7.062
# V (Å³ per atom): 16.3
# Formation energy without anion corrections (eV/atom): 0.356
# Energy above the most stable polymorph in this dataset (eV per formula unit): 0.20
data_ZnSbMo2
_symmetry_space_group_name_H-M 'P m m m'
_symmetry_Int_Tables_number 47
_cell_length_a 3.3022
_cell_length_b 4.3515
_cell_length_c 4.5420
_cell_angle_alpha 90.00
_cell_angle_beta 90.00
_cell_angle_gamma 90.00
loop_
_symmetry_equiv_pos_as_xyz
'x,y,z'
'-x,-y,-z'
'-x,-y,z'
'x,y,-z'
'x,-y,-z'
'-x,y,z'
'-x,y,-z'
'x,-y,z'
loop_
_atom_site_label
_atom_site_fract_x
_atom_site_fract_y
_atom_site_fract_z
Zn1 0.0000 0.0000 0.0000
Sb1 0.5000 0.0000 0.5000
Mo1 0.0000 0.5000 0.5000
Mo2 0.5000 0.5000 0.0000

=====

No. 11
# Mg2ZrHg (GGA-PBEsol, relaxed)
# E (eV per atom): -3.417
# V (Å³ per atom): 21.1
# Formation enthalpy at 0 K (eV per atom): -0.14
data_Mg2ZrHg
_symmetry_space_group_name_H-M 'P 4 m m'
_symmetry_Int_Tables_number 99
_cell_length_a 3.1780
_cell_length_b 3.1780
_cell_length_c 8.3443
_cell_angle_alpha 90.00
_cell_angle_beta 90.00
_cell_angle_gamma 90.00
loop_
_symmetry_equiv_pos_as_xyz
'x,y,z'
'-y,x,z'
'-x,-y,z'
'y,-x,z'
'-x,y,z'
'y,x,z'
'x,-y,z'
'-y,-x,z'
loop_
_atom_site_label
_atom_site_fract_x
_atom_site_fract_y
_atom_site_fract_z
Mg1 0.0000 0.0000 0.0000
Mg2 0.5000 0.5000 0.2650
Zr1 0.0000 0.0000 0.5263
Hg1 0.5000 0.5000 0.7734

=====

No. 12
# YMnNi2 (GGA-PBEsol, relaxed)
# E (eV per atom): -7.408
# V (Å³ per atom): 15.8
# Formation enthalpy at 0 K (eV per atom): -0.18
# Energy above the most stable polymorph in this dataset (eV per formula unit): 0.00
data_YMnNi2
_symmetry_space_group_name_H-M 'R -3 m'
_symmetry_Int_Tables_number 166
_symmetry_space_group_name_Hall '-R 3 2"'
_cell_length_a 4.0104
_cell_length_b 4.0104
_cell_length_c 13.6226
_cell_angle_alpha 90.00
_cell_angle_beta 90.00
_cell_angle_gamma 120.00
loop_
_atom_site_label
_atom_site_fract_x
_atom_site_fract_y
_atom_site_fract_z
Y1 0.0000 0.0000 0.0000
Mn1 0.0000 0.0000 0.5000
Ni1 0.0000 0.0000 0.2002

=====

No. 13
# InPtRh2 (GGA-PBEsol, relaxed)
# E (eV per atom): -6.755
# V (Å³ per atom): 15.2
# Formation enthalpy at 0 K (eV per atom): -0.20
data_InPtRh2
_symmetry_space_group_name_H-M 'I 4/m m m'
_symmetry_Int_Tables_number 139
_symmetry_space_group_name_Hall '-I 4 2'
_cell_length_a 4.0048
_cell_length_b 4.0048
_cell_length_c 7.5679
_cell_angle_alpha 90.00
_cell_angle_beta 90.00
_cell_angle_gamma 90.00
loop_
_atom_site_label
_atom_site_fract_x
_atom_site_fract_y
_atom_site_fract_z
In1 0.0000 0.0000 0.0000
Pt1 0.0000 0.0000 0.5000
Rh1 0.0000 0.5000 0.2500

=====

No. 14
# LiTlFe2 (GGA-PBEsol, relaxed)
# E (eV per atom): -5.190
# V (Å³ per atom): 14.5
# Formation enthalpy at 0 K (eV per atom): 0.44
data_LiTlFe2
_symmetry_space_group_name_H-M 'C 1 2/m 1'
_symmetry_Int_Tables_number 12
_cell_length_a 5.0948
_cell_length_b 9.3302
_cell_length_c 2.8281
_cell_angle_alpha 90.00
_cell_angle_beta 120.34
_cell_angle_gamma 90.00
loop_
_symmetry_equiv_pos_as_xyz
'x,y,z'
'-x,-y,-z'
'-x,y,-z'
'x,-y,z'
'x+1/2,y+1/2,z'
'-x+1/2,-y+1/2,-z'
'-x+1/2,y+1/2,-z'
'x+1/2,-y+1/2,z'
loop_
_atom_site_label
_atom_site_fract_x
_atom_site_fract_y
_atom_site_fract_z
Li1 0.0000 0.0000 0.0000
Tl1 0.0000 0.5000 0.0000
Fe1 0.2500 0.2500 0.5000

=====

No. 15
# Ta2CuAgCl (GGA-PBEsol, relaxed)
# E (eV per atom): -5.762
# V (Å³ per atom): 18.3
# Formation energy without anion corrections (eV/atom): 1.189
data_Ta2CuAgCl
_symmetry_space_group_name_H-M 'P 4/m m m'
_symmetry_Int_Tables_number 123
_symmetry_space_group_name_Hall '-P 4 2'
_cell_length_a 4.4251
_cell_length_b 4.4251
_cell_length_c 4.6779
_cell_angle_alpha 90.00
_cell_angle_beta 90.00
_cell_angle_gamma 90.00
loop_
_atom_site_label
_atom_site_fract_x
_atom_site_fract_y
_atom_site_fract_z
Ta1 0.0000 0.5000 0.0000
Cu1 0.0000 0.0000 0.5000
Ag1 0.5000 0.5000 0.5000
Cl1 0.5000 0.5000 0.0000

=====

No. 16
# LiY3Pb (GGA-PBEsol, relaxed)
# E (eV per atom): -4.900
# V (Å³ per atom): 38.6
# Formation enthalpy at 0 K (eV per atom): 0.39
data_LiY3Pb
_symmetry_space_group_name_H-M 'P m -3 m'
_symmetry_Int_Tables_number 221
_symmetry_space_group_name_Hall '-P 4 2 3'
_cell_length_a 5.7778
_cell_length_b 5.7778
_cell_length_c 5.7778
_cell_angle_alpha 90.00
_cell_angle_beta 90.00
_cell_angle_gamma 90.00
loop_
_atom_site_label
_atom_site_fract_x
_atom_site_fract_y
_atom_site_fract_z
Li1 0.0000 0.0000 0.0000
Y1 0.0000 0.5000 0.5000
Pb1 0.5000 0.5000 0.5000

=====

No. 17
# Cu2IF2 (GGA-PBEsol, relaxed)
# E (eV per atom): -3.500
# V (Å³ per atom): 14.8
# Formation energy without anion corrections (eV/atom): -0.642
data_Cu2IF2
_symmetry_space_group_name_H-M 'I 4/m m m'
_symmetry_Int_Tables_number 139
_symmetry_space_group_name_Hall '-I 4 2'
_cell_length_a 4.0462
_cell_length_b 4.0462
_cell_length_c 9.0559
_cell_angle_alpha 90.00
_cell_angle_beta 90.00
_cell_angle_gamma 90.00
loop_
_atom_site_label
_atom_site_fract_x
_atom_site_fract_y
_atom_site_fract_z
Cu1 0.0000 0.5000 0.2500
I1 0.0000 0.0000 0.0000
F1 0.0000 0.0000 0.3303

=====

No. 18
# Dy2Be2GeO7 (GGA-PBEsol, relaxed)
# E (eV per atom): -7.896
# V (Å³ per atom): 10.8
# Formation energy without anion corrections (eV/atom): -2.926
data_Dy2Be2GeO7
_symmetry_space_group_name_H-M 'P -4 21 m'
_symmetry_Int_Tables_number 113
_cell_length_a 7.3653
_cell_length_b 7.3653
_cell_length_c 4.7681
_cell_angle_alpha 90.00
_cell_angle_beta 90.00
_cell_angle_gamma 90.00
loop_
_symmetry_equiv_pos_as_xyz
'x,y,z'
'y,-x,-z'
'-x,-y,z'
'-y,x,-z'
'x+1/2,-y+1/2,-z'
'y+1/2,x+1/2,z'
'-x+1/2,y+1/2,-z'
'-y+1/2,-x+1/2,z'
loop_
_atom_site_label
_atom_site_fract_x
_atom_site_fract_y
_atom_site_fract_z
Dy1 0.1579 0.3421 0.4944
Be1 0.1355 0.6355 0.9520
Ge1 0.0000 0.0000 0.0000
O1 0.0000 0.5000 0.8123
O2 0.0813 0.8284 0.7806
O3 0.1420 0.6420 0.2841

=====

No. 19
# FeNi2Rh (GGA-PBEsol, relaxed)
# E (eV per atom): -7.377
# V (Å³ per atom): 11.5
# Formation enthalpy at 0 K (eV per atom): -0.02
data_FeNi2Rh
_symmetry_space_group_name_H-M 'I 4/m m m'
_symmetry_Int_Tables_number 139
_symmetry_space_group_name_Hall '-I 4 2'
_cell_length_a 3.5601
_cell_length_b 3.5601
_cell_length_c 7.2877
_cell_angle_alpha 90.00
_cell_angle_beta 90.00
_cell_angle_gamma 90.00
loop_
_atom_site_label
_atom_site_fract_x
_atom_site_fract_y
_atom_site_fract_z
Fe1 0.0000 0.0000 0.0000
Ni1 0.0000 0.5000 0.2500
Rh1 0.0000 0.0000 0.5000

=====

No. 20
# Ca3CdO (GGA-PBEsol, relaxed)
# E (eV per atom): -3.901
# V (Å³ per atom): 22.6
# Formation energy without anion corrections (eV/atom): -1.332
data_Ca3CdO
_symmetry_space_group_name_H-M 'P m -3 m'
_symmetry_Int_Tables_number 221
_symmetry_space_group_name_Hall '-P 4 2 3'
_cell_length_a 4.8318
_cell_length_b 4.8318
_cell_length_c 4.8318
_cell_angle_alpha 90.00
_cell_angle_beta 90.00
_cell_angle_gamma 90.00
loop_
_atom_site_label
_atom_site_fract_x
_atom_site_fract_y
_atom_site_fract_z
Ca1 0.0000 0.0000 0.5000
Cd1 0.5000 0.5000 0.5000
O1 0.0000 0.0000 0.0000